Record 1
Crystalline Th4BiTe2 at its relaxed geometry. Source: Alexandria, functional PBE-GGA.

a = 7.8262 Å, b = 7.8262 Å, c = 14.8899 Å
α = 90.00°, β = 90.00°, γ = 149.29°
Sites, in units of the cell vectors:
Th 0.0000 0.0000 0.0000
Th 0.0000 0.0000 0.5000
Th 0.2792 0.7208 0.6413
Th 0.2792 0.7208 0.8587
Th 0.4137 0.5863 0.2500
Th 0.5863 0.4137 0.7500
Th 0.7208 0.2792 0.1413
Th 0.7208 0.2792 0.3587
Bi 0.0817 0.9183 0.2500
Bi 0.9183 0.0817 0.7500
Te 0.3538 0.6462 0.0512
Te 0.3538 0.6462 0.4488
Te 0.6462 0.3538 0.5512
Te 0.6462 0.3538 0.9488

Computed properties:
Excess energy over the best structure of this formula in the dataset ... 0.004 eV/atom
ρ ... 9927 kg/m³
DOS(E_F) ... 13.81 states/eV per cell
Uncorrected energy ... -0.4606 Ry per atom
Energy relative to the elements, uncorrected ... -55 kJ per mole of atoms

***

Record 2
Crystalline LiTlCdCl6 at its relaxed geometry. Source: Alexandria, functional PBE-GGA.

a = 6.6614 Å, b = 6.6614 Å, c = 11.8501 Å
α = 90.00°, β = 90.00°, γ = 120.00°
Sites, in units of the cell vectors:
Li 0.0000 0.0000 0.0000
Li 0.0000 0.0000 0.5000
Tl 0.3333 0.6667 0.2500
Tl 0.6667 0.3333 0.7500
Cd 0.3333 0.6667 0.7500
Cd 0.6667 0.3333 0.2500
Cl 0.0028 0.3408 0.1249
Cl 0.0028 0.6620 0.3751
Cl 0.3380 0.3408 0.3751
Cl 0.3380 0.9972 0.1249
Cl 0.3408 0.0028 0.6249
Cl 0.3408 0.3380 0.8751
Cl 0.6592 0.6620 0.1249
Cl 0.6592 0.9972 0.3751
Cl 0.6620 0.0028 0.8751
Cl 0.6620 0.6592 0.6249
Cl 0.9972 0.3380 0.6249
Cl 0.9972 0.6592 0.8751

Computed properties:
ρ ... 3912 kg/m³
DOS(E_F) ... 0.00 states/eV per cell
Uncorrected energy ... -0.2086 Ry per atom
Energy relative to the elements, uncorrected ... -99 kJ per mole of atoms

***

Record 3
Crystalline GaTe2WN at its relaxed geometry. Source: Alexandria, functional PBE-GGA.

a = 5.5050 Å, b = 5.5050 Å, c = 3.8262 Å
α = 90.00°, β = 90.00°, γ = 90.00°
Sites, in units of the cell vectors:
Ga 0.0000 0.0000 0.0000
Te 0.0000 0.5000 0.5000
Te 0.5000 0.0000 0.5000
W 0.5000 0.5000 0.5000
N 0.5000 0.5000 0.0000

Computed properties:
Excess energy over the best structure of this formula in the dataset ... 0.000 eV/atom
ρ ... 7486 kg/m³
DOS(E_F) ... 2.51 states/eV per cell
Uncorrected energy ... -0.4337 Ry per atom
Energy relative to the elements, uncorrected ... 21 kJ per mole of atoms

***

Record 4
Crystalline RbBaAg2 at its relaxed geometry. Source: Alexandria, functional PBE-GGA.

a = 4.3506 Å, b = 4.3506 Å, c = 8.3597 Å
α = 90.00°, β = 90.00°, γ = 90.00°
Sites, in units of the cell vectors:
Rb 0.0000 0.0000 0.0000
Ba 0.0000 0.0000 0.5000
Ag 0.5000 0.5000 0.3098
Ag 0.5000 0.5000 0.6902

Computed properties:
E_form ... -87 meV per atom
Excess energy over the best structure of this formula in the dataset ... 0.000 eV/atom
ρ ... 4602 kg/m³
DOS(E_F) ... 2.49 states/eV per cell
Uncorrected energy ... -0.1642 Ry per atom

***

Record 5
Crystalline TlIrSe2 at its relaxed geometry. Source: Alexandria, functional PBE-GGA.

a = 4.6819 Å, b = 4.6819 Å, c = 3.9591 Å
α = 90.00°, β = 90.00°, γ = 107.22°
Sites, in units of the cell vectors:
Tl 0.0000 0.0000 0.0000
Ir 0.5000 0.5000 0.0000
Se 0.0000 0.5000 0.5000
Se 0.5000 0.0000 0.5000

Computed properties:
Excess energy over the best structure of this formula in the dataset ... 0.922 eV/atom
ρ ... 11108 kg/m³
DOS(E_F) ... 2.30 states/eV per cell
Uncorrected energy ... -0.2892 Ry per atom
Energy relative to the elements, uncorrected ... 59 kJ per mole of atoms

***

Record 6
Crystalline Ac3Cu2Pb4 at its relaxed geometry. Source: Alexandria, functional PBE-GGA.

a = 6.7718 Å, b = 6.7718 Å, c = 9.3460 Å
α = 100.79°, β = 100.79°, γ = 41.52°
Sites, in units of the cell vectors:
Ac 0.0000 0.0000 0.0000
Ac 0.3472 0.3472 0.3359
Ac 0.6528 0.6528 0.6641
Cu 0.4218 0.4218 0.7339
Cu 0.5782 0.5782 0.2661
Pb 0.0780 0.0780 0.3887
Pb 0.2838 0.2838 0.9164
Pb 0.7162 0.7162 0.0836
Pb 0.9220 0.9220 0.6113

Computed properties:
E_form ... -376 meV per atom
Excess energy over the best structure of this formula in the dataset ... 0.000 eV/atom
ρ ... 9764 kg/m³
DOS(E_F) ... 3.95 states/eV per cell
Uncorrected energy ... -0.3163 Ry per atom

***

Record 7
Crystalline ZrTi3Cr at its relaxed geometry. Source: Alexandria, functional PBE-GGA.

a = 4.5515 Å, b = 4.5515 Å, c = 4.5515 Å
α = 90.00°, β = 90.00°, γ = 90.00°
Sites, in units of the cell vectors:
Zr 0.0000 0.0000 0.0000
Ti 0.0000 0.5000 0.5000
Ti 0.5000 0.0000 0.5000
Ti 0.5000 0.5000 0.0000
Cr 0.5000 0.5000 0.5000

Computed properties:
E_form ... 401 meV per atom
Excess energy over the best structure of this formula in the dataset ... 0.000 eV/atom
ρ ... 5051 kg/m³
DOS(E_F) ... 7.88 states/eV per cell
Uncorrected energy ... -0.5858 Ry per atom

***

Record 8
Crystalline Nd3Sm2DyTe6 at its relaxed geometry. Source: Alexandria, functional PBE-GGA.

a = 9.9670 Å, b = 9.9670 Å, c = 8.9775 Å
α = 103.11°, β = 103.11°, γ = 25.65°
Sites, in units of the cell vectors:
Nd 0.0000 0.0000 0.0000
Nd 0.3304 0.3304 0.6661
Nd 0.6696 0.6696 0.3339
Sm 0.3318 0.3318 0.1643
Sm 0.6682 0.6682 0.8357
Dy 0.0000 0.0000 0.5000
Te 0.1624 0.1624 0.5844
Te 0.1669 0.1669 0.0809
Te 0.4997 0.4997 0.2582
Te 0.5003 0.5003 0.7418
Te 0.8331 0.8331 0.9191
Te 0.8376 0.8376 0.4156

Computed properties:
ρ ... 7348 kg/m³
DOS(E_F) ... 6.45 states/eV per cell
Uncorrected energy ... -0.3910 Ry per atom
Energy relative to the elements, uncorrected ... -134 kJ per mole of atoms

***

Record 9
Crystalline UP2Ir at its relaxed geometry. Source: Alexandria, functional PBE-GGA.

a = 5.7424 Å, b = 5.7424 Å, c = 5.7424 Å
α = 39.40°, β = 39.40°, γ = 39.40°
Sites, in units of the cell vectors:
U 0.0000 0.0000 0.0000
P 0.2322 0.2322 0.2322
P 0.7678 0.7678 0.7678
Ir 0.5000 0.5000 0.5000

Computed properties:
E_form ... -756 meV per atom
ρ ... 11904 kg/m³
DOS(E_F) ... 2.83 states/eV per cell
Uncorrected energy ... -0.6246 Ry per atom

***

Record 10
Crystalline KSrFe2 at its relaxed geometry. Source: Alexandria, functional PBE-GGA.

a = 3.3958 Å, b = 3.3958 Å, c = 9.6213 Å
α = 90.00°, β = 90.00°, γ = 90.00°
Sites, in units of the cell vectors:
K 0.0000 0.0000 0.0000
Sr 0.5000 0.5000 0.4169
Fe 0.0000 0.0000 0.6488
Fe 0.5000 0.5000 0.7274

Computed properties:
E_form ... 623 meV per atom
Excess energy over the best structure of this formula in the dataset ... 0.023 eV/atom
ρ ... 3568 kg/m³
DOS(E_F) ... 4.21 states/eV per cell
Uncorrected energy ... -0.3163 Ry per atom

***

Record 11
Crystalline CrCdCo2Ru at its relaxed geometry. Source: Alexandria, functional PBE-GGA.

a = 4.3953 Å, b = 4.3953 Å, c = 5.0640 Å
α = 90.00°, β = 90.00°, γ = 90.00°
Sites, in units of the cell vectors:
Cr 0.0000 0.0000 0.0000
Cd 0.5000 0.5000 0.0000
Co 0.0000 0.5000 0.5000
Co 0.5000 0.0000 0.5000
Ru 0.5000 0.5000 0.5000

Computed properties:
E_form ... 1404 meV per atom
ρ ... 6507 kg/m³
DOS(E_F) ... 6.59 states/eV per cell
Uncorrected energy ... -0.3970 Ry per atom

***

Record 12
Crystalline V2RuW3 at its relaxed geometry. Source: Alexandria, functional PBE-GGA.

a = 9.8485 Å, b = 9.8485 Å, c = 9.8485 Å
α = 154.31°, β = 154.31°, γ = 36.65°
Sites, in units of the cell vectors:
V 0.0403 0.2903 0.7500
V 0.2904 0.0404 0.2500
V 0.7096 0.9596 0.7500
V 0.9597 0.7097 0.2500
Ru 0.3752 0.6252 0.7500
Ru 0.6248 0.3748 0.2500
W 0.1252 0.8752 0.2500
W 0.2087 0.4587 0.7500
W 0.4591 0.2091 0.2500
W 0.5409 0.7909 0.7500
W 0.7913 0.5413 0.2500
W 0.8748 0.1248 0.7500

Computed properties:
E_form ... -87 meV per atom
ρ ... 13974 kg/m³
DOS(E_F) ... 9.45 states/eV per cell
Uncorrected energy ... -0.8194 Ry per atom

***

Record 13
Crystalline SmCuPt at its relaxed geometry. Source: Alexandria, functional PBE-GGA.

a = 5.1230 Å, b = 5.1230 Å, c = 5.1230 Å
α = 138.10°, β = 138.10°, γ = 60.75°
Sites, in units of the cell vectors:
Sm 0.0000 0.0000 0.0000
Cu 0.6791 0.6791 0.0000
Pt 0.3370 0.3370 0.0000

Computed properties:
E_form ... -595 meV per atom
Excess energy over the best structure of this formula in the dataset ... 0.176 eV/atom
ρ ... 11448 kg/m³
DOS(E_F) ... 1.14 states/eV per cell
Uncorrected energy ... -0.4077 Ry per atom

***

Record 14
Crystalline Ce3FeAu at its relaxed geometry. Source: Alexandria, functional PBE-GGA.

a = 5.0182 Å, b = 5.0182 Å, c = 5.0182 Å
α = 90.00°, β = 90.00°, γ = 90.00°
Sites, in units of the cell vectors:
Ce 0.0000 0.0000 0.5000
Ce 0.0000 0.5000 0.0000
Ce 0.5000 0.0000 0.0000
Fe 0.0000 0.0000 0.0000
Au 0.5000 0.5000 0.5000

Computed properties:
E_form ... -152 meV per atom
Excess energy over the best structure of this formula in the dataset ... 0.117 eV/atom
ρ ... 8846 kg/m³
DOS(E_F) ... 14.34 states/eV per cell
Uncorrected energy ... -0.4454 Ry per atom

***

Record 15
Crystalline Pu2ThTl9 at its relaxed geometry. Source: Alexandria, functional PBE-GGA.

a = 4.7987 Å, b = 4.7987 Å, c = 14.4364 Å
α = 90.00°, β = 90.00°, γ = 90.00°
Sites, in units of the cell vectors:
Pu 0.0000 0.0000 0.1664
Pu 0.0000 0.0000 0.8336
Th 0.0000 0.0000 0.5000
Tl 0.0000 0.5000 0.0000
Tl 0.0000 0.5000 0.3302
Tl 0.0000 0.5000 0.6698
Tl 0.5000 0.0000 0.0000
Tl 0.5000 0.0000 0.3302
Tl 0.5000 0.0000 0.6698
Tl 0.5000 0.5000 0.1645
Tl 0.5000 0.5000 0.5000
Tl 0.5000 0.5000 0.8355

Computed properties:
E_form ... -77 meV per atom
ρ ... 12785 kg/m³
DOS(E_F) ... 29.86 states/eV per cell
Uncorrected energy ... -0.3571 Ry per atom

***

Record 16
Crystalline Sr2NpSi3Pt12 at its relaxed geometry. Source: Alexandria, functional PBE-GGA.

a = 7.9434 Å, b = 7.9434 Å, c = 7.9434 Å
α = 62.73°, β = 62.73°, γ = 62.73°
Sites, in units of the cell vectors:
Sr 0.1009 0.1009 0.1009
Sr 0.8991 0.8991 0.8991
Np 0.5000 0.5000 0.5000
Si 0.0000 0.5000 0.5000
Si 0.5000 0.0000 0.5000
Si 0.5000 0.5000 0.0000
Pt 0.1082 0.6331 0.6331
Pt 0.1528 0.1528 0.5947
Pt 0.1528 0.5947 0.1528
Pt 0.3669 0.3669 0.8918
Pt 0.3669 0.8918 0.3669
Pt 0.4053 0.8472 0.8472
Pt 0.5947 0.1528 0.1528
Pt 0.6331 0.1082 0.6331
Pt 0.6331 0.6331 0.1082
Pt 0.8472 0.4053 0.8472
Pt 0.8472 0.8472 0.4053
Pt 0.8918 0.3669 0.3669

Computed properties:
ρ ... 12534 kg/m³
DOS(E_F) ... 15.23 states/eV per cell
Uncorrected energy ... -0.4584 Ry per atom
Energy relative to the elements, uncorrected ... -39 kJ per mole of atoms

***

Record 17
Crystalline Tc2MoHRu at its relaxed geometry. Source: Alexandria, functional PBE-GGA.

a = 3.9196 Å, b = 3.9196 Å, c = 3.9691 Å
α = 90.00°, β = 90.00°, γ = 90.00°
Sites, in units of the cell vectors:
Tc 0.0000 0.5000 0.0000
Tc 0.5000 0.0000 0.0000
Mo 0.0000 0.0000 0.5000
H 0.0000 0.0000 0.0000
Ru 0.5000 0.5000 0.5000

Computed properties:
Excess energy over the best structure of this formula in the dataset ... 0.026 eV/atom
ρ ... 10730 kg/m³
DOS(E_F) ... 5.79 states/eV per cell
Uncorrected energy ... -0.6452 Ry per atom

***

Record 18
Crystalline Sm4GeSeI2 at its relaxed geometry. Source: Alexandria, functional PBE-GGA.

a = 7.3757 Å, b = 4.3217 Å, c = 7.9493 Å
α = 90.00°, β = 108.44°, γ = 90.00°
Sites, in units of the cell vectors:
Sm 0.2286 0.0000 0.1941
Sm 0.2674 0.5000 0.8076
Sm 0.7326 0.5000 0.1924
Sm 0.7714 0.0000 0.8059
Ge 0.0000 0.5000 0.0000
Se 0.5000 0.0000 0.0000
I 0.0000 0.0000 0.5000
I 0.5000 0.5000 0.5000

Computed properties:
ρ ... 6955 kg/m³
DOS(E_F) ... 3.92 states/eV per cell
Uncorrected energy ... -0.3630 Ry per atom
Energy relative to the elements, uncorrected ... -114 kJ per mole of atoms

***

Record 19
Crystalline LaScOs2 at its relaxed geometry. Source: Alexandria, functional PBE-GGA.

a = 4.8504 Å, b = 3.1791 Å, c = 5.5831 Å
α = 90.00°, β = 114.78°, γ = 90.00°
Sites, in units of the cell vectors:
La 0.0000 0.0000 0.0000
Sc 0.0000 0.5000 0.5000
Os 0.5000 0.0000 0.5000
Os 0.5000 0.5000 0.0000

Computed properties:
E_form ... 363 meV per atom
Excess energy over the best structure of this formula in the dataset ... 0.316 eV/atom
ρ ... 11989 kg/m³
DOS(E_F) ... 2.25 states/eV per cell
Uncorrected energy ... -0.5929 Ry per atom

***

Record 20
Crystalline La2Zn3PdPt4 at its relaxed geometry. Source: Alexandria, functional PBE-GGA.

a = 4.1267 Å, b = 4.1267 Å, c = 11.5088 Å
α = 90.00°, β = 90.00°, γ = 90.00°
Sites, in units of the cell vectors:
La 0.0000 0.5000 0.2476
La 0.5000 0.0000 0.7524
Zn 0.0000 0.0000 0.0000
Zn 0.0000 0.5000 0.6292
Zn 0.5000 0.0000 0.3708
Pd 0.5000 0.5000 0.0000
Pt 0.0000 0.0000 0.5000
Pt 0.0000 0.5000 0.8460
Pt 0.5000 0.0000 0.1540
Pt 0.5000 0.5000 0.5000

Computed properties:
E_form ... -793 meV per atom
ρ ... 11529 kg/m³
DOS(E_F) ... 4.73 states/eV per cell
Uncorrected energy ... -0.3745 Ry per atom